[1]
! PrSc4Ga5 (PBE, relaxed); values from VASP
! Formation energy (eV/atom): -0.58
&SYSTEM
  ibrav = 0, nat = 10, ntyp = 3
/
ATOMIC_SPECIES
Pr 140.91 Pr.upf
Sc 44.96 Sc.upf
Ga 69.72 Ga.upf
CELL_PARAMETERS angstrom
-1.783 -0.694 -2.859
-1.663 -2.519 1.649
-12.046 11.104 4.817
ATOMIC_POSITIONS crystal
Pr 0.000 0.000 0.000
Sc 0.000 0.000 0.595
Sc 0.000 0.000 0.215
Sc 0.000 0.000 0.785
Sc 0.000 0.000 0.405
Ga 0.500 0.500 0.122
Ga 0.500 0.500 0.500
Ga 0.500 0.500 0.690
Ga 0.500 0.500 0.310
Ga 0.500 0.500 0.878

[2]
! PrSc2Ga2 (PBE, relaxed); values from VASP
! Formation energy (eV/atom): -0.42
&SYSTEM
  ibrav = 0, nat = 10, ntyp = 3
/
ATOMIC_SPECIES
Sc 44.96 Sc.upf
Pr 140.91 Pr.upf
Ga 69.72 Ga.upf
CELL_PARAMETERS angstrom
-2.753 -2.707 -1.863
3.612 -3.591 -0.121
-3.866 -2.930 9.971
ATOMIC_POSITIONS crystal
Sc 0.250 0.257 0.512
Sc 0.250 0.849 0.891
Sc 0.750 0.743 0.488
Sc 0.750 0.151 0.109
Pr 0.750 0.312 0.752
Pr 0.250 0.688 0.248
Ga 0.250 0.779 0.643
Ga 0.750 0.646 0.023
Ga 0.250 0.354 0.977
Ga 0.750 0.221 0.357

[3]
! PrScGa2 (PBE, relaxed); values from VASP
! Polymorph energy (0 for the lowest one) (eV per atom): 0.0066
! Formation energy (eV/atom): -0.57
&SYSTEM
  ibrav = 0, nat = 16, ntyp = 3
/
ATOMIC_SPECIES
Ga 69.72 Ga.upf
Pr 140.91 Pr.upf
Sc 44.96 Sc.upf
CELL_PARAMETERS angstrom
-3.189 -2.278 1.431
3.742 -0.635 7.327
-5.080 9.245 3.396
ATOMIC_POSITIONS crystal
Ga 0.750 0.759 0.439
Ga 0.750 0.850 0.828
Ga 0.250 0.741 0.939
Ga 0.250 0.650 0.328
Ga 0.750 0.259 0.061
Ga 0.250 0.150 0.172
Ga 0.750 0.350 0.672
Ga 0.250 0.241 0.561
Pr 0.250 0.140 0.860
Pr 0.750 0.360 0.360
Pr 0.250 0.640 0.640
Pr 0.750 0.860 0.140
Sc 0.250 0.986 0.388
Sc 0.250 0.486 0.112
Sc 0.750 0.014 0.612
Sc 0.750 0.514 0.888

[4]
! PrScGa2 (PBE, relaxed); values from VASP
! Polymorph energy (0 for the lowest one) (eV per atom): 0.0370
! Formation energy (eV/atom): -0.54
&SYSTEM
  ibrav = 0, nat = 4, ntyp = 3
/
ATOMIC_SPECIES
Pr 140.91 Pr.upf
Ga 69.72 Ga.upf
Sc 44.96 Sc.upf
CELL_PARAMETERS angstrom
5.026 0.000 0.000
2.513 4.353 0.000
2.513 1.451 4.104
ATOMIC_POSITIONS crystal
Pr 0.000 0.000 0.000
Ga 0.750 0.750 0.750
Ga 0.250 0.250 0.250
Sc 0.500 0.500 0.500

[5]
! PrSc2Ga6 (PBE, relaxed); values from VASP
! Polymorph energy (0 for the lowest one) (eV per atom): 0.0279
! Formation energy (eV/atom): -0.51
&SYSTEM
  ibrav = 0, nat = 9, ntyp = 3
/
ATOMIC_SPECIES
Ga 69.72 Ga.upf
Pr 140.91 Pr.upf
Sc 44.96 Sc.upf
CELL_PARAMETERS angstrom
-2.899 1.381 2.754
-6.500 -3.265 -1.954
-2.853 -6.129 3.321
ATOMIC_POSITIONS crystal
Ga 0.690 0.611 0.008
Ga 0.500 0.678 0.322
Ga 0.310 0.992 0.389
Ga 0.310 0.389 0.992
Ga 0.500 0.322 0.678
Ga 0.690 0.008 0.611
Pr 0.000 0.000 0.000
Sc 0.122 0.378 0.378
Sc 0.878 0.622 0.622

[6]
! Pr5ScGa4 (PBE, relaxed); values from VASP
! Formation energy (eV/atom): -0.36
&SYSTEM
  ibrav = 0, nat = 10, ntyp = 3
/
ATOMIC_SPECIES
Ga 69.72 Ga.upf
Pr 140.91 Pr.upf
Sc 44.96 Sc.upf
CELL_PARAMETERS angstrom
-2.500 -3.241 -0.950
1.331 -3.232 7.523
-4.911 5.144 4.672
ATOMIC_POSITIONS crystal
Ga 0.025 0.221 0.049
Ga 0.975 0.779 0.951
Ga 0.637 0.165 0.273
Ga 0.363 0.835 0.727
Pr 0.831 0.121 0.662
Pr 0.824 0.580 0.649
Pr 0.500 0.500 0.000
Pr 0.176 0.420 0.351
Pr 0.169 0.879 0.338
Sc 0.500 0.000 0.000

[7]
! Pr2Sc3Ga4 (PBE, relaxed); values from VASP
! Polymorph energy (0 for the lowest one) (eV per atom): 0.1267
! Formation energy (eV/atom): -0.47
&SYSTEM
  ibrav = 0, nat = 18, ntyp = 3
/
ATOMIC_SPECIES
Sc 44.96 Sc.upf
Pr 140.91 Pr.upf
Ga 69.72 Ga.upf
CELL_PARAMETERS angstrom
-5.054 2.598 -3.217
2.060 -4.313 -6.720
-2.052 -7.230 4.012
ATOMIC_POSITIONS crystal
Sc 0.533 0.750 0.566
Sc 0.467 0.250 0.434
Sc 0.000 0.000 0.000
Sc 0.033 0.750 0.566
Sc 0.967 0.250 0.434
Sc 0.500 0.500 0.000
Pr 0.391 0.083 0.782
Pr 0.109 0.583 0.218
Pr 0.609 0.917 0.218
Pr 0.891 0.417 0.782
Ga 0.817 0.040 0.634
Ga 0.708 0.750 0.917
Ga 0.683 0.540 0.366
Ga 0.292 0.250 0.083
Ga 0.183 0.960 0.366
Ga 0.317 0.460 0.634
Ga 0.792 0.250 0.083
Ga 0.208 0.750 0.917

[8]
! PrSc3Ga2 (PBE, relaxed); values from VASP
! Polymorph energy (0 for the lowest one) (eV per atom): 0.0000
! Formation energy (eV/atom): -0.42
&SYSTEM
  ibrav = 0, nat = 12, ntyp = 3
/
ATOMIC_SPECIES
Ga 69.72 Ga.upf
Sc 44.96 Sc.upf
Pr 140.91 Pr.upf
CELL_PARAMETERS angstrom
4.664 0.000 0.000
0.000 6.325 0.000
0.000 0.000 9.307
ATOMIC_POSITIONS crystal
Ga 0.500 0.714 0.877
Ga 0.500 0.214 0.123
Ga 0.000 0.778 0.349
Ga 0.000 0.278 0.651
Sc 0.000 0.334 0.291
Sc 0.500 0.663 0.177
Sc 0.000 0.455 0.951
Sc 0.500 0.163 0.823
Sc 0.000 0.955 0.049
Sc 0.000 0.834 0.709
Pr 0.500 0.555 0.550
Pr 0.500 0.055 0.450

[9]
! PrSc2Ga (PBE, relaxed); values from VASP
! Polymorph energy (0 for the lowest one) (eV per atom): 0.0505
! Formation energy (eV/atom): -0.23
&SYSTEM
  ibrav = 0, nat = 4, ntyp = 3
/
ATOMIC_SPECIES
Ga 69.72 Ga.upf
Pr 140.91 Pr.upf
Sc 44.96 Sc.upf
CELL_PARAMETERS angstrom
4.562 0.000 0.000
0.000 4.594 0.000
0.000 0.000 4.594
ATOMIC_POSITIONS crystal
Ga 0.500 0.000 0.000
Pr 0.500 0.500 0.500
Sc 0.000 0.000 0.500
Sc 0.000 0.500 0.000

[10]
! Pr5Sc4Ga4 (PBE, relaxed); values from VASP
! Formation energy (eV/atom): -0.38
&SYSTEM
  ibrav = 0, nat = 13, ntyp = 3
/
ATOMIC_SPECIES
Sc 44.96 Sc.upf
Pr 140.91 Pr.upf
Ga 69.72 Ga.upf
CELL_PARAMETERS angstrom
-3.164 2.913 1.467
-7.595 -2.636 -4.108
-3.364 -3.856 7.438
ATOMIC_POSITIONS crystal
Sc 0.101 0.481 0.316
Sc 0.417 0.684 0.481
Sc 0.583 0.316 0.519
Sc 0.899 0.519 0.684
Pr 0.703 0.926 0.669
Pr 0.000 0.000 0.000
Pr 0.297 0.074 0.331
Pr 0.628 0.669 0.074
Pr 0.372 0.331 0.926
Ga 0.065 0.189 0.682
Ga 0.747 0.318 0.189
Ga 0.253 0.682 0.811
Ga 0.935 0.811 0.318

[11]
! Pr3Sc4Ga4 (PBE, relaxed); values from VASP
! Formation energy (eV/atom): -0.45
&SYSTEM
  ibrav = 0, nat = 11, ntyp = 3
/
ATOMIC_SPECIES
Ga 69.72 Ga.upf
Pr 140.91 Pr.upf
Sc 44.96 Sc.upf
CELL_PARAMETERS angstrom
-0.172 0.356 -4.657
-5.418 -5.055 -0.186
-2.529 8.033 3.053
ATOMIC_POSITIONS crystal
Ga 0.792 0.292 0.584
Ga 0.500 0.186 0.000
Ga 0.208 0.708 0.416
Ga 0.500 0.814 0.000
Pr 0.114 0.114 0.228
Pr 0.000 0.500 0.000
Pr 0.886 0.886 0.772
Sc 0.327 0.532 0.654
Sc 0.327 0.121 0.654
Sc 0.673 0.468 0.346
Sc 0.673 0.879 0.346

[12]
! PrSc5Ga4 (PBE, relaxed); values from VASP
! Formation energy (eV/atom): -0.47
&SYSTEM
  ibrav = 0, nat = 10, ntyp = 3
/
ATOMIC_SPECIES
Sc 44.96 Sc.upf
Ga 69.72 Ga.upf
Pr 140.91 Pr.upf
CELL_PARAMETERS angstrom
3.354 0.000 0.000
0.000 3.354 0.000
0.000 0.000 18.715
ATOMIC_POSITIONS crystal
Sc 0.500 0.500 0.681
Sc 0.500 0.500 0.861
Sc 0.500 0.500 0.319
Sc 0.500 0.500 0.500
Sc 0.500 0.500 0.139
Ga 0.000 0.000 0.409
Ga 0.000 0.000 0.591
Ga 0.000 0.000 0.227
Ga 0.000 0.000 0.773
Pr 0.000 0.000 0.000

[13]
! PrScGa2 (PBE, relaxed); values from VASP
! Polymorph energy (0 for the lowest one) (eV per atom): 0.0000
! Formation energy (eV/atom): -0.57
&SYSTEM
  ibrav = 0, nat = 4, ntyp = 3
/
ATOMIC_SPECIES
Pr 140.91 Pr.upf
Ga 69.72 Ga.upf
Sc 44.96 Sc.upf
CELL_PARAMETERS angstrom
-1.567 1.995 2.479
0.863 -2.393 2.472
6.101 3.377 1.139
ATOMIC_POSITIONS crystal
Pr 0.500 0.500 0.500
Ga 0.000 0.000 0.787
Ga 0.000 0.000 0.213
Sc 0.500 0.500 0.000

[14]
! PrSc2Ga (PBE, relaxed); values from VASP
! Polymorph energy (0 for the lowest one) (eV per atom): 0.1116
! Formation energy (eV/atom): -0.17
&SYSTEM
  ibrav = 0, nat = 4, ntyp = 3
/
ATOMIC_SPECIES
Sc 44.96 Sc.upf
Ga 69.72 Ga.upf
Pr 140.91 Pr.upf
CELL_PARAMETERS angstrom
4.678 0.000 0.000
2.339 4.052 0.000
2.339 1.351 5.584
ATOMIC_POSITIONS crystal
Sc 0.278 0.278 0.165
Sc 0.041 0.041 0.876
Ga 0.690 0.690 0.930
Pr 0.490 0.490 0.529

[15]
! PrSc3Ga4 (PBE, relaxed); values from VASP
! Formation energy (eV/atom): -0.55
&SYSTEM
  ibrav = 0, nat = 16, ntyp = 3
/
ATOMIC_SPECIES
Pr 140.91 Pr.upf
Ga 69.72 Ga.upf
Sc 44.96 Sc.upf
CELL_PARAMETERS angstrom
-2.305 4.451 -0.292
-5.880 -3.111 -1.013
-1.575 -0.180 9.695
ATOMIC_POSITIONS crystal
Pr 0.000 0.500 0.500
Pr 0.000 0.500 0.000
Ga 0.500 0.225 0.500
Ga 0.500 0.775 0.000
Ga 0.079 0.775 0.750
Ga 0.079 0.225 0.750
Ga 0.500 0.775 0.500
Ga 0.921 0.225 0.250
Ga 0.921 0.775 0.250
Ga 0.500 0.225 0.000
Sc 0.000 0.000 0.500
Sc 0.546 0.500 0.750
Sc 0.578 0.000 0.750
Sc 0.454 0.500 0.250
Sc 0.422 0.000 0.250
Sc 0.000 0.000 0.000

[16]
! PrSc2Ga4 (PBE, relaxed); values from VASP
! Formation energy (eV/atom): -0.61
&SYSTEM
  ibrav = 0, nat = 7, ntyp = 3
/
ATOMIC_SPECIES
Pr 140.91 Pr.upf
Sc 44.96 Sc.upf
Ga 69.72 Ga.upf
CELL_PARAMETERS angstrom
4.003 0.000 -0.913
-0.214 4.025 -0.940
0.024 0.056 9.341
ATOMIC_POSITIONS crystal
Pr 0.500 0.000 0.000
Sc 0.186 0.186 0.373
Sc 0.814 0.814 0.627
Ga 0.071 0.571 0.143
Ga 0.346 0.346 0.691
Ga 0.929 0.429 0.857
Ga 0.654 0.654 0.309

[17]
! PrSc2Ga (PBE, relaxed); values from VASP
! Polymorph energy (0 for the lowest one) (eV per atom): 0.2525
! Formation energy (eV/atom): -0.03
&SYSTEM
  ibrav = 0, nat = 4, ntyp = 3
/
ATOMIC_SPECIES
Sc 44.96 Sc.upf
Ga 69.72 Ga.upf
Pr 140.91 Pr.upf
CELL_PARAMETERS angstrom
3.336 0.000 0.000
1.668 2.889 0.000
1.668 0.963 10.711
ATOMIC_POSITIONS crystal
Sc 0.898 0.898 0.307
Sc 0.102 0.102 0.693
Ga 0.500 0.500 0.500
Pr 0.000 0.000 0.000

[18]
! Pr3ScGa2 (PBE, relaxed); values from VASP
! Polymorph energy (0 for the lowest one) (eV per atom): 0.0000
! Formation energy (eV/atom): -0.37
&SYSTEM
  ibrav = 0, nat = 12, ntyp = 3
/
ATOMIC_SPECIES
Pr 140.91 Pr.upf
Ga 69.72 Ga.upf
Sc 44.96 Sc.upf
CELL_PARAMETERS angstrom
6.549 0.000 0.000
0.000 6.468 0.000
-3.274 -3.234 7.894
ATOMIC_POSITIONS crystal
Pr 0.063 0.820 0.640
Pr 0.500 0.750 0.000
Pr 0.500 0.250 0.000
Pr 0.577 0.320 0.640
Pr 0.937 0.180 0.360
Pr 0.423 0.680 0.360
Ga 0.647 0.874 0.748
Ga 0.101 0.374 0.748
Ga 0.353 0.126 0.252
Ga 0.899 0.626 0.252
Sc 0.000 0.250 0.000
Sc 0.000 0.750 0.000

[19]
! PrSc4Ga4 (PBE, relaxed); values from VASP
! Formation energy (eV/atom): -0.34
&SYSTEM
  ibrav = 0, nat = 18, ntyp = 3
/
ATOMIC_SPECIES
Sc 44.96 Sc.upf
Ga 69.72 Ga.upf
Pr 140.91 Pr.upf
CELL_PARAMETERS angstrom
-3.361 -1.654 3.736
6.786 -2.628 4.941
0.312 7.931 3.790
ATOMIC_POSITIONS crystal
Sc 0.618 0.145 0.411
Sc 0.882 0.355 0.089
Sc 0.382 0.411 0.855
Sc 0.882 0.645 0.911
Sc 0.118 0.911 0.355
Sc 0.118 0.089 0.645
Sc 0.618 0.855 0.589
Sc 0.382 0.589 0.145
Ga 0.107 0.744 0.628
Ga 0.107 0.256 0.372
Ga 0.893 0.628 0.256
Ga 0.393 0.756 0.872
Ga 0.607 0.872 0.244
Ga 0.393 0.244 0.128
Ga 0.607 0.128 0.756
Ga 0.893 0.372 0.744
Pr 0.000 0.000 0.000
Pr 0.500 0.500 0.500

[20]
! PrSc2Ga6 (PBE, relaxed); values from VASP
! Polymorph energy (0 for the lowest one) (eV per atom): 0.0000
! Formation energy (eV/atom): -0.53
&SYSTEM
  ibrav = 0, nat = 9, ntyp = 3
/
ATOMIC_SPECIES
Ga 69.72 Ga.upf
Pr 140.91 Pr.upf
Sc 44.96 Sc.upf
CELL_PARAMETERS angstrom
-1.751 -3.248 0.039
6.536 -3.532 -0.769
-2.649 1.510 6.818
ATOMIC_POSITIONS crystal
Ga 0.500 0.000 0.338
Ga 0.500 0.338 0.000
Ga 0.500 0.000 0.662
Ga 0.500 0.662 0.662
Ga 0.500 0.662 0.000
Ga 0.500 0.338 0.338
Pr 0.000 0.000 0.000
Sc 0.000 0.667 0.333
Sc 0.000 0.333 0.667

Magnetization readings, ordered: 0.000; 0.000; 0.000; 0.000; 0.000; 0.001; 0.000; 0.000; 0.124; 1.132; 0.002; 0.000; 0.000; 0.000; 0.000; 0.000; 0.000; 1.247; 0.000; 0.000 μB per cell
Calculated total energy readings, ordered: -51.031; -51.241; -77.706; -19.305; -40.165; -45.915; -89.739; -64.752; -21.403; -66.222; -56.751; -53.201; -19.453; -21.159; -80.550; -33.831; -20.595; -57.866; -90.589; -40.416 eV per cell
Calculated volume readings, ordered: 20.20; 24.14; 23.84; 22.44; 20.86; 28.30; 23.54; 22.88; 24.07; 26.69; 24.60; 21.05; 22.22; 26.46; 20.74; 21.54; 25.80; 27.86; 22.74; 19.81 A^3/atom